(1)
DFT (GGA-PBE) results for a geometry-optimized Hf2NbGa4 structure.

extended XYZ file:
```
7
Lattice="-2.4327 2.4327 6.8238 2.4327 -2.4327 6.8238 2.4327 2.4327 -6.8238" Properties=species:S:1:pos:R:3 pbc="T T T"
Hf 0.0000 0.0000 1.4641
Hf 0.0000 0.0000 12.1836
Nb 0.0000 0.0000 6.8238
Ga 2.4327 0.0000 0.0000
Ga 0.0000 0.0000 4.2185
Ga 0.0000 2.4327 0.0000
Ga 0.0000 0.0000 9.4292
```

* E above lowest polymorph: 52.5 kJ/mol of atoms
* DOS at the Fermi energy: 0.579 states/eV per atom
* space group: I4/mmm, No. 139
* ρ: 7.49 g cm⁻³
* ΔH_f (0 K): 0.2616 eV/atom
* crystal system: tetragonal

(2)
DFT (GGA-PBE) results for a geometry-optimized HfNb2Ga3 structure.

extended XYZ file:
```
12
Lattice="3.2767 -5.8205 0.0000 3.2767 5.8205 0.0000 -2.2845 0.0000 5.9129" Properties=species:S:1:pos:R:3 pbc="T T T"
Hf 1.5633 4.9034 4.4347
Hf 2.7056 -4.9034 1.4782
Nb 2.7056 2.9982 1.4782
Nb 1.5633 1.0108 4.4347
Nb 2.7056 -1.0108 1.4782
Nb 1.5633 -2.9982 4.4347
Ga 0.4961 2.9102 2.9565
Ga 1.7224 1.0021 0.0467
Ga 0.5802 -1.0021 3.0031
Ga 1.6384 -2.9102 0.0000
Ga 3.6887 1.0021 2.9098
Ga 2.5464 -1.0021 5.8662
```

* DOS at the Fermi energy: 0.430 states/eV per atom
* space group: C2/c, No. 15
* ρ: 8.44 g cm⁻³
* ΔH_f (0 K): -0.0584 eV/atom
* crystal system: monoclinic

(3)
DFT (GGA-PBE) results for a geometry-optimized HfNbGa structure.

extended XYZ file:
```
3
Lattice="-1.7539 1.7539 4.4897 1.7539 -1.7539 4.4897 1.7539 1.7539 -4.4897" Properties=species:S:1:pos:R:3 pbc="T T T"
Hf 0.0000 0.0000 0.0000
Nb 0.0000 0.0000 6.1163
Ga 0.0000 0.0000 2.9698
```

* E above lowest polymorph: 13.2 kJ/mol of atoms
* DOS at the Fermi energy: 0.905 states/eV per atom
* space group: I4mm, No. 107
* ρ: 10.25 g cm⁻³
* ΔH_f (0 K): -0.2481 eV/atom
* crystal system: tetragonal

(4)
DFT (GGA-PBE) results for a geometry-optimized HfNb4Ga5 structure.

extended XYZ file:
```
10
Lattice="-2.1355 4.4633 4.6602 2.1355 -4.4633 4.6602 2.1355 4.4633 -4.6602" Properties=species:S:1:pos:R:3 pbc="T T T"
Hf 0.0000 0.0000 0.0000
Nb 2.1355 1.8435 0.0000
Nb 0.0000 0.0000 2.9809
Nb 0.0000 0.0000 6.3395
Nb 0.0000 2.6197 4.6602
Ga 2.1355 -1.9836 2.9847
Ga 0.0000 2.4796 1.6755
Ga 0.0000 4.4633 0.0000
Ga 2.1355 1.9836 2.9847
Ga 0.0000 6.4469 1.6755
```

* DOS at the Fermi energy: 0.839 states/eV per atom
* space group: Immm, No. 71
* ρ: 8.40 g cm⁻³
* ΔH_f (0 K): -0.0055 eV/atom
* crystal system: orthorhombic

(5)
DFT (GGA-PBE) results for a geometry-optimized Hf3NbGa6 structure.

extended XYZ file:
```
20
Lattice="5.2585 -4.9496 0.0000 5.2585 4.9496 0.0000 0.0000 0.0000 7.3227" Properties=species:S:1:pos:R:3 pbc="T T T"
Hf 5.2585 3.1361 3.6614
Hf 3.5299 0.5020 3.9822
Hf 3.5299 -0.5020 0.3209
Hf 6.9871 0.5020 3.9822
Hf 6.9871 -0.5020 0.3209
Hf 5.2585 -3.1361 0.0000
Nb 5.2585 1.7176 6.2492
Nb 5.2585 -1.7176 2.5878
Ga 2.6048 1.9986 6.4456
Ga 1.3996 0.6170 2.1663
Ga 5.2585 3.7456 0.8102
Ga 1.3996 -0.6170 5.8277
Ga 5.2585 1.0981 1.7908
Ga 2.6048 -1.9986 2.7842
Ga 7.9121 1.9986 6.4456
Ga 5.2585 -1.0981 5.4522
Ga 9.1174 0.6170 2.1663
Ga 5.2585 -3.7456 4.4716
Ga 9.1174 -0.6170 5.8277
Ga 7.9121 -1.9986 2.7842
```

* DOS at the Fermi energy: 0.486 states/eV per atom
* space group: Cmc2_1, No. 36
* ρ: 9.12 g cm⁻³
* ΔH_f (0 K): -0.1793 eV/atom
* crystal system: orthorhombic

(6)
DFT (GGA-PBE) results for a geometry-optimized Hf5NbGa6 structure.

extended XYZ file:
```
12
Lattice="3.6753 -6.6413 0.0000 3.6753 6.6413 0.0000 -2.6194 0.0000 4.6563" Properties=species:S:1:pos:R:3 pbc="T T T"
Hf 0.0000 0.0000 0.0000
Hf 2.3656 4.8164 2.3281
Hf 3.6753 2.4914 0.0000
Hf 3.6753 -2.4914 0.0000
Hf 2.3656 -4.8164 2.3281
Nb 2.3656 0.0000 2.3281
Ga 1.2795 2.2700 1.4715
Ga 0.0073 0.0000 3.9411
Ga 1.2795 -2.2700 1.4715
Ga 3.4516 2.2700 3.1848
Ga 4.7239 0.0000 0.7152
Ga 3.4516 -2.2700 3.1848
```

* DOS at the Fermi energy: 0.548 states/eV per atom
* space group: C2/m, No. 12
* ρ: 10.25 g cm⁻³
* ΔH_f (0 K): -0.3023 eV/atom
* crystal system: monoclinic

(7)
DFT (GGA-PBE) results for a geometry-optimized HfNbGa2 structure.

extended XYZ file:
```
8
Lattice="-3.6352 3.6352 2.8614 3.6352 -3.6352 2.8614 3.6352 3.6352 -2.8614" Properties=species:S:1:pos:R:3 pbc="T T T"
Hf 0.0000 0.0000 0.0000
Hf 0.0000 3.6352 1.4307
Nb 3.6352 0.0000 1.4307
Nb 0.0000 0.0000 2.8614
Ga 1.8176 -1.7541 2.1461
Ga 1.8811 1.8176 0.7154
Ga 1.8176 5.3893 -0.7154
Ga 1.7541 1.8176 3.5768
```

* E above lowest polymorph: 35.5 kJ/mol of atoms
* DOS at the Fermi energy: 0.706 states/eV per atom
* space group: I-42d, No. 122
* ρ: 9.02 g cm⁻³
* ΔH_f (0 K): -0.0645 eV/atom
* crystal system: tetragonal

(8)
DFT (GGA-PBE) results for a geometry-optimized Hf2NbGa2 structure.

extended XYZ file:
```
10
Lattice="7.1136 0.0000 0.0000 0.0000 7.1136 0.0000 0.0000 0.0000 3.6695" Properties=species:S:1:pos:R:3 pbc="T T T"
Hf 1.2664 2.2904 0.0000
Hf 2.2904 5.8472 0.0000
Hf 4.8232 1.2664 0.0000
Hf 5.8472 4.8232 0.0000
Nb 0.0000 0.0000 1.8348
Nb 3.5568 3.5568 1.8348
Ga 0.8899 4.4467 1.8348
Ga 2.6670 0.8899 1.8348
Ga 4.4467 6.2238 1.8348
Ga 6.2238 2.6670 1.8348
```

* E above lowest polymorph: 0.0 kJ/mol of atoms
* DOS at the Fermi energy: 0.851 states/eV per atom
* space group: P4/mbm, No. 127
* ρ: 10.54 g cm⁻³
* ΔH_f (0 K): -0.4313 eV/atom
* crystal system: tetragonal